Entry 1:
# Li2Nb

Li2Nb after structural relaxation (PBE-GGA, the Open Quantum Materials Database).

Cell: 4.6080 4.6080 4.6080 Å, 60.00 60.00 60.00°
Last column: nearest neighbours and their distance in Å.
Fractional positions:
1 Li 0.2500 0.2500 0.2500  4 Nb 2.82
2 Li 0.7500 0.7500 0.7500  4 Nb 2.82
3 Nb 0.0000 0.0000 0.0000  8 Li 2.82

**Polymorph energy (0 for the lowest one)**: 1039 meV per atom
**Mass density**: 2.6 g/cm³

Entry 2:
# GdAs

GdAs after structural relaxation (PBE-GGA, the Open Quantum Materials Database).

Cell: 4.0303 4.0303 3.6964 Å, 90.00 90.00 120.00°
Last column: nearest neighbours and their distance in Å.
Fractional positions:
1 Gd 0.0000 0.0000 0.0000  6 As 2.97
2 As 0.3333 0.6667 0.5000  6 Gd 2.97

**Mass density**: 7.4 g/cm³
**Calculated total energy**: -5.8941 eV per atom

Entry 3:
# DyMg

DyMg after structural relaxation (PBE-GGA, the Open Quantum Materials Database).

Cell: 5.3878 7.0504 11.4780 Å, 90.00 90.00 90.00°
Last column: nearest neighbours and their distance in Å.
Fractional positions:
1 Dy 0.2500 0.0066 0.0907  4 Mg 3.34-3.57, 8 Dy 3.41-3.62
2 Dy 0.2500 0.2500 0.3530  10 Mg 3.23-3.53, 2 Dy 3.47
3 Dy 0.2500 0.2500 0.8148  6 Mg 3.18-3.53, 4 Dy 3.42
4 Dy 0.2500 0.4934 0.0907  4 Mg 3.34-3.57, 8 Dy 3.41-3.62
5 Dy 0.7500 0.5066 0.9093  4 Mg 3.34-3.57, 8 Dy 3.41-3.62
6 Dy 0.7500 0.7500 0.1852  6 Mg 3.18-3.53, 4 Dy 3.42
7 Dy 0.7500 0.7500 0.6470  10 Mg 3.23-3.53, 2 Dy 3.47
8 Dy 0.7500 0.9934 0.9093  4 Mg 3.34-3.57, 8 Dy 3.41-3.62
9 Mg 0.2500 0.5063 0.5868  7 Mg 3.13-3.44, 4 Dy 3.18-3.27
10 Mg 0.2500 0.7500 0.3593  6 Mg 3.13-3.30, 2 Dy 3.35
11 Mg 0.2500 0.7500 0.8249  2 Mg 3.23, 10 Dy 3.34-3.55
12 Mg 0.2500 0.9937 0.5868  7 Mg 3.13-3.44, 4 Dy 3.18-3.27
13 Mg 0.7500 0.0063 0.4132  7 Mg 3.13-3.44, 4 Dy 3.18-3.27
14 Mg 0.7500 0.2500 0.1751  2 Mg 3.23, 10 Dy 3.34-3.55
15 Mg 0.7500 0.2500 0.6407  6 Mg 3.13-3.30, 2 Dy 3.35
16 Mg 0.7500 0.4937 0.4132  7 Mg 3.13-3.44, 4 Dy 3.18-3.27

**Mass density**: 5.7 g/cm³
**Calculated total energy**: -3.0969 eV per atom

Entry 4:
# ReI

ReI after structural relaxation (PBE-GGA, the Open Quantum Materials Database).

Cell: 3.2426 3.2426 8.4928 Å, 90.00 90.00 120.00°
Last column: nearest neighbours and their distance in Å.
Fractional positions:
1 Re 0.3333 0.6667 0.2500  6 I 2.83
2 Re 0.6667 0.3333 0.7500  6 I 2.83
3 I 0.0000 0.0000 0.0000  6 Re 2.83
4 I 0.0000 0.0000 0.5000  6 Re 2.83

**Polymorph energy (0 for the lowest one)**: 143 meV per atom
**Mass density**: 13.4 g/cm³